(1)
# CaDyHo2, optimized geometry, DFT PBE-GGA
# total DFT energy (no corrections)	-3.800	eV per atom
# calculated volume	131.2	Å³/cell
# energy relative to the lowest polymorph listed for this composition	0.300	eV per formula unit
# crystal system	tetragonal
# size of the total moment	0.00	μB per cell
# formation enthalpy at 0 K	0.14	eV per atom
data_CaDyHo2
_chemical_formula_sum 'Ca1 Dy1 Ho2'
_cell_length_a 5.078
_cell_length_b 5.078
_cell_length_c 5.087
_cell_angle_alpha 90.00
_cell_angle_beta 90.00
_cell_angle_gamma 90.00
_symmetry_space_group_name_H-M 'P 1'
_symmetry_Int_Tables_number 1
_symmetry_space_group_name_Hall 'P 1'
loop_
_atom_site_label
_atom_site_type_symbol
_atom_site_fract_x
_atom_site_fract_y
_atom_site_fract_z
Ca1 Ca 0.000 0.000 0.000
Dy1 Dy 0.500 0.500 0.000
Ho1 Ho 0.000 0.500 0.500
Ho2 Ho 0.500 0.000 0.500



(2)
# Ca2DyHo, optimized geometry, DFT PBE-GGA
# total DFT energy (no corrections)	-3.101	eV per atom
# calculated volume	140.0	Å³/cell
# energy relative to the lowest polymorph listed for this composition	0.023	eV per formula unit
# crystal system	cubic
# size of the total moment	0.00	μB per cell
# formation enthalpy at 0 K	0.19	eV per atom
data_Ca2DyHo
_chemical_formula_sum 'Ca2 Dy1 Ho1'
_cell_length_a 5.829
_cell_length_b 5.829
_cell_length_c 5.829
_cell_angle_alpha 60.00
_cell_angle_beta 60.00
_cell_angle_gamma 60.00
_symmetry_space_group_name_H-M 'P 1'
_symmetry_Int_Tables_number 1
_symmetry_space_group_name_Hall 'P 1'
loop_
_atom_site_label
_atom_site_type_symbol
_atom_site_fract_x
_atom_site_fract_y
_atom_site_fract_z
Ca1 Ca 0.250 0.250 0.250
Ca2 Ca 0.750 0.750 0.750
Dy1 Dy 0.000 0.000 0.000
Ho1 Ho 0.500 0.500 0.500



(3)
# CaDy5Ho8, optimized geometry, DFT PBE-GGA
# total DFT energy (no corrections)	-4.159	eV per atom
# calculated volume	462.6	Å³/cell
# crystal system	tetragonal
# size of the total moment	0.00	μB per cell
# formation enthalpy at 0 K	0.24	eV per atom
data_CaDy5Ho8
_chemical_formula_sum 'Ca1 Dy5 Ho8'
_cell_length_a 8.444
_cell_length_b 8.444
_cell_length_c 8.444
_cell_angle_alpha 110.95
_cell_angle_beta 110.95
_cell_angle_gamma 106.56
_symmetry_space_group_name_H-M 'P 1'
_symmetry_Int_Tables_number 1
_symmetry_space_group_name_Hall 'P 1'
loop_
_atom_site_label
_atom_site_type_symbol
_atom_site_fract_x
_atom_site_fract_y
_atom_site_fract_z
Ca1 Ca 0.000 0.000 0.000
Dy1 Dy 0.214 0.034 0.598
Dy2 Dy 0.384 0.786 0.820
Dy3 Dy 0.436 0.616 0.402
Dy4 Dy 0.750 0.250 0.500
Dy5 Dy 0.966 0.564 0.180
Ho1 Ho 0.089 0.329 0.423
Ho2 Ho 0.174 0.421 0.896
Ho3 Ho 0.334 0.911 0.240
Ho4 Ho 0.526 0.278 0.104
Ho5 Ho 0.579 0.474 0.752
Ho6 Ho 0.671 0.094 0.760
Ho7 Ho 0.722 0.826 0.248
Ho8 Ho 0.906 0.666 0.577



(4)
# CaDy4Ho, optimized geometry, DFT PBE-GGA
# total DFT energy (no corrections)	-4.105	eV per atom
# calculated volume	196.0	Å³/cell
# energy relative to the lowest polymorph listed for this composition	0.000	eV per formula unit
# crystal system	monoclinic
# size of the total moment	0.00	μB per cell
# formation enthalpy at 0 K	0.06	eV per atom
data_CaDy4Ho
_chemical_formula_sum 'Ca1 Dy4 Ho1'
_cell_length_a 8.878
_cell_length_b 8.878
_cell_length_c 6.293
_cell_angle_alpha 96.73
_cell_angle_beta 96.73
_cell_angle_gamma 23.46
_symmetry_space_group_name_H-M 'P 1'
_symmetry_Int_Tables_number 1
_symmetry_space_group_name_Hall 'P 1'
loop_
_atom_site_label
_atom_site_type_symbol
_atom_site_fract_x
_atom_site_fract_y
_atom_site_fract_z
Ca1 Ca 0.000 0.000 0.000
Dy1 Dy 0.168 0.168 0.393
Dy2 Dy 0.328 0.328 0.114
Dy3 Dy 0.672 0.672 0.886
Dy4 Dy 0.832 0.832 0.607
Ho1 Ho 0.500 0.500 0.500



(5)
# CaDyHo2, optimized geometry, DFT PBE-GGA
# total DFT energy (no corrections)	-3.863	eV per atom
# calculated volume	133.8	Å³/cell
# energy relative to the lowest polymorph listed for this composition	0.045	eV per formula unit
# crystal system	tetragonal
# size of the total moment	0.00	μB per cell
# formation enthalpy at 0 K	0.08	eV per atom
data_CaDyHo2
_chemical_formula_sum 'Ca1 Dy1 Ho2'
_cell_length_a 3.599
_cell_length_b 3.599
_cell_length_c 10.333
_cell_angle_alpha 90.00
_cell_angle_beta 90.00
_cell_angle_gamma 90.00
_symmetry_space_group_name_H-M 'P 1'
_symmetry_Int_Tables_number 1
_symmetry_space_group_name_Hall 'P 1'
loop_
_atom_site_label
_atom_site_type_symbol
_atom_site_fract_x
_atom_site_fract_y
_atom_site_fract_z
Ca1 Ca 0.000 0.000 0.000
Dy1 Dy 0.000 0.000 0.500
Ho1 Ho 0.500 0.500 0.270
Ho2 Ho 0.500 0.500 0.730



(6)
# CaDy6Ho12, optimized geometry, DFT PBE-GGA
# total DFT energy (no corrections)	-4.014	eV per atom
# calculated volume	655.1	Å³/cell
# crystal system	trigonal
# size of the total moment	0.00	μB per cell
# formation enthalpy at 0 K	0.44	eV per atom
data_CaDy6Ho12
_chemical_formula_sum 'Ca1 Dy6 Ho12'
_cell_length_a 9.314
_cell_length_b 9.314
_cell_length_c 9.314
_cell_angle_alpha 107.93
_cell_angle_beta 107.93
_cell_angle_gamma 107.93
_symmetry_space_group_name_H-M 'P 1'
_symmetry_Int_Tables_number 1
_symmetry_space_group_name_Hall 'P 1'
loop_
_atom_site_label
_atom_site_type_symbol
_atom_site_fract_x
_atom_site_fract_y
_atom_site_fract_z
Ca1 Ca 0.000 0.000 0.000
Dy1 Dy 0.267 0.685 0.685
Dy2 Dy 0.315 0.315 0.733
Dy3 Dy 0.315 0.733 0.315
Dy4 Dy 0.685 0.267 0.685
Dy5 Dy 0.685 0.685 0.267
Dy6 Dy 0.733 0.315 0.315
Ho1 Ho 0.111 0.500 0.889
Ho2 Ho 0.111 0.889 0.500
Ho3 Ho 0.143 0.362 0.362
Ho4 Ho 0.362 0.143 0.362
Ho5 Ho 0.362 0.362 0.143
Ho6 Ho 0.500 0.111 0.889
Ho7 Ho 0.500 0.889 0.111
Ho8 Ho 0.638 0.638 0.857
Ho9 Ho 0.638 0.857 0.638
Ho10 Ho 0.857 0.638 0.638
Ho11 Ho 0.889 0.111 0.500
Ho12 Ho 0.889 0.500 0.111



(7)
# Ca2DyHo, optimized geometry, DFT PBE-GGA
# total DFT energy (no corrections)	-3.100	eV per atom
# calculated volume	140.3	Å³/cell
# energy relative to the lowest polymorph listed for this composition	0.029	eV per formula unit
# crystal system	tetragonal
# size of the total moment	0.00	μB per cell
# formation enthalpy at 0 K	0.20	eV per atom
data_Ca2DyHo
_chemical_formula_sum 'Ca2 Dy1 Ho1'
_cell_length_a 4.119
_cell_length_b 4.119
_cell_length_c 8.270
_cell_angle_alpha 90.00
_cell_angle_beta 90.00
_cell_angle_gamma 90.00
_symmetry_space_group_name_H-M 'P 1'
_symmetry_Int_Tables_number 1
_symmetry_space_group_name_Hall 'P 1'
loop_
_atom_site_label
_atom_site_type_symbol
_atom_site_fract_x
_atom_site_fract_y
_atom_site_fract_z
Ca1 Ca 0.000 0.000 0.249
Ca2 Ca 0.000 0.000 0.751
Dy1 Dy 0.500 0.500 0.500
Ho1 Ho 0.500 0.500 0.000



(8)
# CaDyHo2, optimized geometry, DFT PBE-GGA
# total DFT energy (no corrections)	-3.778	eV per atom
# calculated volume	134.9	Å³/cell
# energy relative to the lowest polymorph listed for this composition	0.386	eV per formula unit
# crystal system	trigonal
# size of the total moment	0.00	μB per cell
# formation enthalpy at 0 K	0.16	eV per atom
data_CaDyHo2
_chemical_formula_sum 'Ca1 Dy1 Ho2'
_cell_length_a 12.651
_cell_length_b 12.651
_cell_length_c 12.651
_cell_angle_alpha 16.05
_cell_angle_beta 16.05
_cell_angle_gamma 16.05
_symmetry_space_group_name_H-M 'P 1'
_symmetry_Int_Tables_number 1
_symmetry_space_group_name_Hall 'P 1'
loop_
_atom_site_label
_atom_site_type_symbol
_atom_site_fract_x
_atom_site_fract_y
_atom_site_fract_z
Ca1 Ca 0.000 0.000 0.000
Dy1 Dy 0.500 0.500 0.500
Ho1 Ho 0.091 0.091 0.091
Ho2 Ho 0.909 0.909 0.909



Q: Among the records above, which one has the lowest calculated volume?
A: number 1